1.
The following is a DFT calculation (PBE) of a geometry-optimized LiCu4As structure.

Summary:
**Crystal system**: cubic
**Size of the total moment**: 0.00 μB/cell
**Energy relative to the elements**: -0.25 eV/f.u.
**Theoretical density**: 6.755 Mg/m³
**Calculated volume**: 13.77 Å³ per atom

Unit cell a=4.8885 b=4.8885 c=4.8885 alpha=60.00 beta=60.00 gamma=60.00
With the nearest neighbours (Å) after each atom.
Element x y z (fractional)
Li: 0.7500 0.7500 0.7500  12 Cu 2.87, 4 As 2.99
Cu: 0.3755 0.3755 0.3755  6 Cu 2.43-2.45
Cu: 0.3755 0.3755 0.8734  6 Cu 2.43-2.45
Cu: 0.8734 0.3755 0.3755  6 Cu 2.43-2.45
As: 0.0000 0.0000 0.0000  12 Cu 2.87, 4 Li 2.99
Cu: 0.3755 0.8734 0.3755  6 Cu 2.43-2.45

***

2.
The following is a DFT calculation (PBE) of a geometry-optimized Li2PmIn structure.

Summary:
**Crystal system**: tetragonal
**Size of the total moment**: 0.00 μB/cell
**Energy relative to the elements**: -0.41 eV/f.u.
**Theoretical density**: 4.854 Mg/m³
**Calculated volume**: 23.41 Å³ per atom

Unit cell a=4.0148 b=4.8295 c=4.8295 alpha=90.00 beta=90.00 gamma=90.00
With the nearest neighbours (Å) after each atom.
Element x y z (fractional)
Li: 0.0000 0.5000 0.0000  4 In 3.14, 4 Pm 3.14, 4 Li 3.41
Li: 0.0000 0.0000 0.5000  4 In 3.14, 4 Pm 3.14, 4 Li 3.41
Pm: 0.5000 0.5000 0.5000  8 Li 3.14, 4 In 3.41
In: 0.5000 0.0000 0.0000  8 Li 3.14, 4 Pm 3.41

***

3.
The following is a DFT calculation (PBE) of a geometry-optimized MgCoRe structure.

Summary:
**Crystal system**: monoclinic
**Size of the total moment**: 0.18 μB/cell
**Energy relative to the elements**: 0.71 eV/f.u.
**Theoretical density**: 10.466 Mg/m³
**Calculated volume**: 14.25 Å³ per atom

Unit cell a=4.6183 b=6.9876 c=2.7266 alpha=101.27 beta=90.02 gamma=97.62
With the nearest neighbours (Å) after each atom.
Element x y z (fractional)
Mg: 0.4407 0.8955 0.9082  2 Co 2.57-2.58, 6 Mg 2.73-2.77
Re: 0.3751 0.5052 0.2133  6 Co 2.51-2.72, 3 Re 2.60-2.73
Re: 0.9875 0.1922 0.0562  6 Co 2.51-2.72, 3 Re 2.60-2.73
Co: 0.8781 0.4804 0.7005  1 Co 2.38, 4 Re 2.51-2.66, 2 Mg 2.57
Mg: 0.9243 0.8018 0.3612  2 Co 2.57, 6 Mg 2.73-2.77
Co: 0.4840 0.2169 0.5689  1 Co 2.38, 4 Re 2.51-2.65, 2 Mg 2.57-2.58

***

4.
The following is a DFT calculation (PBE) of a geometry-optimized GdGa2Pd structure.

Summary:
**Crystal system**: cubic
**Size of the total moment**: 7.11 μB/cell
**Energy relative to the elements**: -2.37 eV/f.u.
**Theoretical density**: 8.955 Mg/m³
**Calculated volume**: 18.69 Å³ per atom

Unit cell a=4.7284 b=4.7284 c=4.7284 alpha=60.00 beta=60.00 gamma=60.00
With the nearest neighbours (Å) after each atom.
Element x y z (fractional)
Ga: 0.2500 0.2500 0.2500  4 Gd 2.90, 4 Pd 2.90
Ga: 0.7500 0.7500 0.7500  4 Gd 2.90, 4 Pd 2.90
Gd: 0.0000 0.0000 0.0000  8 Ga 2.90
Pd: 0.5000 0.5000 0.5000  8 Ga 2.90

***

5.
The following is a DFT calculation (PBE) of a geometry-optimized BeAg structure.

Summary:
**Crystal system**: monoclinic
**Size of the total moment**: 0.00 μB/cell
**Energy relative to the elements**: 0.37 eV/f.u.
**Theoretical density**: 7.482 Mg/m³
**Calculated volume**: 12.97 Å³ per atom

Unit cell a=4.7122 b=5.3388 c=2.8379 alpha=74.59 beta=72.48 gamma=49.98
With the nearest neighbours (Å) after each atom.
Element x y z (fractional)
Be: 0.3930 0.1496 0.2287  2 Be 2.36, 7 Ag 2.55-2.63
Ag: 0.8522 0.6142 0.7668  7 Be 2.55-2.63, 4 Ag 2.82-2.84
Be: 0.5237 0.4337 0.5213  2 Be 2.36, 7 Ag 2.55-2.63
Ag: 0.0645 0.9691 0.9832  7 Be 2.55-2.63, 4 Ag 2.82-2.84

***

6.
The following is a DFT calculation (PBE) of a geometry-optimized CePmGd2 structure.

Summary:
**Crystal system**: tetragonal
**Size of the total moment**: 13.80 μB/cell
**Energy relative to the elements**: 0.32 eV/f.u.
**Theoretical density**: 7.712 Mg/m³
**Calculated volume**: 32.28 Å³ per atom

Unit cell a=5.0599 b=5.0512 c=5.0512 alpha=90.00 beta=90.00 gamma=90.00
With the nearest neighbours (Å) after each atom.
Element x y z (fractional)
Ce: 0.5000 0.0000 0.0000  4 Pm 3.57, 8 Gd 3.57
Pm: 0.5000 0.5000 0.5000  4 Ce 3.57, 8 Gd 3.57
Gd: 0.0000 0.5000 0.0000  4 Gd 3.57, 4 Ce 3.57, 4 Pm 3.57
Gd: 0.0000 0.0000 0.5000  4 Gd 3.57, 4 Ce 3.57, 4 Pm 3.57

***

7.
The following is a DFT calculation (PBE) of a geometry-optimized FeNi2Br structure.

Summary:
**Crystal system**: orthorhombic
**Size of the total moment**: 3.95 μB/cell
**Theoretical density**: 7.672 Mg/m³
**Calculated volume**: 13.70 Å³ per atom
**Uncorrected formation energy**: 0.62 eV/atom

Unit cell a=5.0074 b=5.0074 c=5.0074 alpha=144.52 beta=130.53 gamma=62.34
With the nearest neighbours (Å) after each atom.
Element x y z (fractional)
Ni: 0.7451 0.2451 0.5000  4 Fe 2.59, 2 Br 2.62, 2 Ni 2.70
Fe: 0.2535 0.7535 0.5000  2 Br 2.58, 6 Ni 2.59-2.62
Ni: 0.0047 0.0047 0.0000  4 Br 2.59, 2 Fe 2.62, 2 Ni 2.70
Br: 0.4967 0.4967 0.0000  2 Fe 2.58, 6 Ni 2.59-2.62

***

8.
The following is a DFT calculation (PBE) of a geometry-optimized NaLiBO2 structure.

Summary:
**Crystal system**: monoclinic
**Size of the total moment**: 0.00 μB/cell
**Theoretical density**: 1.323 Mg/m³
**Calculated volume**: 18.27 Å³ per atom
**Uncorrected formation energy**: -1.67 eV/atom

Unit cell a=4.9793 b=6.8011 c=5.9824 alpha=64.37 beta=90.00 gamma=90.00
With the nearest neighbours (Å) after each atom.
Element x y z (fractional)
Li: 0.4995 0.0000 0.2500  4 O 2.06
Na: 0.2380 0.5000 0.7500  2 O 2.57
B: 0.0000 0.0000 0.5000  2 O 1.27
Na: 0.7620 0.5000 0.2500  2 O 2.57
O: 0.7649 0.0815 0.4596  1 B 1.27
Li: 0.5005 0.0000 0.7500  4 O 2.06
O: 0.7649 0.9185 0.0404  1 B 1.27
B: 0.0000 0.0000 0.0000  2 O 1.27
O: 0.2351 0.9185 0.5404  1 B 1.27
O: 0.2351 0.0815 0.9596  1 B 1.27